Record 1
The following is a GGA-PBEsol calculation of a relaxed La2HgBr crystal, from Alexandria.

a = 3.730 Å, b = 3.868 Å, c = 8.426 Å
α = 90.00°, β = 90.12°, γ = 90.00°
Fractional positions:
Hg 0.000 0.500 0.500
Br 0.500 0.500 0.000
La 0.501 0.000 0.725
La 0.499 0.000 0.275

Values from the calculation:
E above lowest polymorph, eV/f.u.: 0.340
VASP energy, eV/atom: -4.150

---

Record 2
The following is a GGA-PBEsol calculation of a relaxed La2HgBr crystal, from Alexandria.

a = 5.346 Å, b = 5.346 Å, c = 5.346 Å
α = 60.00°, β = 60.00°, γ = 60.00°
Fractional positions:
Hg 0.250 0.250 0.250
Br 0.500 0.500 0.500
La 0.000 0.000 0.000
La 0.750 0.750 0.750

Values from the calculation:
E above lowest polymorph, eV/f.u.: 2.836
VASP energy, eV/atom: -3.526

---

Record 3
The following is a GGA-PBEsol calculation of a relaxed La2HgBr crystal, from Alexandria.

a = 3.807 Å, b = 3.807 Å, c = 10.415 Å
α = 79.47°, β = 79.47°, γ = 60.00°
Site moments in Bohr magnetons follow the coordinates.
Fractional positions:
Hg 0.251 0.251 0.248  0.00
Br 0.495 0.495 0.515  0.01
La 0.996 0.996 0.013  0.11
La 0.759 0.759 0.724  0.14

Values from the calculation:
E above lowest polymorph, eV/f.u.: 1.502
VASP energy, eV/atom: -3.859

---

Record 4
The following is a GGA-PBEsol calculation of a relaxed LaHgBr3 crystal, from Alexandria.

a = 5.788 Å, b = 5.788 Å, c = 5.788 Å
α = 90.00°, β = 90.00°, γ = 90.00°
Fractional positions:
Hg 0.500 0.500 0.500
Br 0.000 0.500 0.000
Br 0.000 0.000 0.500
Br 0.500 0.000 0.000
La 0.000 0.000 0.000

Values from the calculation:
VASP energy, eV/atom: -3.708

---

Record 5
The following is a GGA-PBEsol calculation of a relaxed La2HgBr crystal, from Alexandria.

a = 5.374 Å, b = 5.374 Å, c = 5.374 Å
α = 60.00°, β = 60.00°, γ = 60.00°
Fractional positions:
Hg 0.500 0.500 0.500
Br 0.000 0.000 0.000
La 0.250 0.250 0.250
La 0.750 0.750 0.750

Values from the calculation:
E above lowest polymorph, eV/f.u.: 0.705
VASP energy, eV/atom: -4.059

---

Record 6
The following is a GGA-PBEsol calculation of a relaxed La2HgBr crystal, from Alexandria.

a = 4.359 Å, b = 4.359 Å, c = 6.254 Å
α = 90.00°, β = 90.00°, γ = 90.00°
Fractional positions:
Hg 0.500 0.500 0.875
Br 0.000 0.000 0.375
La 0.000 0.000 0.875
La 0.500 0.500 0.375

Values from the calculation:
E above lowest polymorph, eV/f.u.: 0.000
VASP energy, eV/atom: -4.235

---

no.,calculated density (Mg/m³)
1,7.6
2,8.6
3,7.3
4,5.0
5,8.5
6,7.8